A plane-wave DFT calculation with GGA-PBE was carried out for crystalline CaSm8Tm6 at its relaxed geometry.

extended XYZ file:
```
15
Lattice="4.8297 2.7885 6.0014 -4.8297 2.7885 6.0014 0.0000 -5.5769 6.0014" Properties=species:S:1:pos:R:3 pbc="T T T"
Ca 0.0000 0.0000 0.0000
Sm -3.9162 0.4345 7.7596
Sm -2.3344 -3.1743 10.2445
Sm 0.0000 0.0000 4.3385
Sm 1.5819 -3.6088 7.7596
Sm -1.5819 3.6088 10.2445
Sm 0.0000 0.0000 13.6656
Sm 2.3344 3.1743 7.7596
Sm 3.9162 -0.4345 10.2445
Tm -1.2581 -1.7242 7.3946
Tm -2.1223 0.2274 10.6096
Tm -0.8642 1.9517 7.3946
Tm 0.8642 -1.9517 10.6096
Tm 2.1223 -0.2274 7.3946
Tm 1.2581 1.7242 10.6095
```

Output
Its density of states at the Fermi level is 1.340 states/eV per atom. As for the formation energy: 0.189 eV/atom. The space group is R-3. The calculated volume is 32.3 Å³/atom. As for the crystal system: trigonal.

A plane-wave DFT calculation with GGA-PBE was carried out for crystalline Tm2BiPb at its relaxed geometry.

extended XYZ file:
```
16
Lattice="4.4794 0.0000 0.0000 0.0000 24.0507 0.0000 0.0000 0.0000 4.3909" Properties=species:S:1:pos:R:3 pbc="T T T"
Tm 0.0000 1.4523 1.0977
Tm 0.0000 7.6006 1.0977
Tm 0.0000 16.4502 3.2932
Tm 0.0000 22.5984 3.2932
Tm 2.2397 4.4248 3.2932
Tm 2.2397 10.5731 3.2932
Tm 2.2397 13.4777 1.0977
Tm 2.2397 19.6260 1.0977
Bi 0.0000 4.5054 1.0977
Bi 0.0000 19.5454 3.2932
Bi 2.2397 7.5200 3.2932
Bi 2.2397 16.5307 1.0977
Pb 0.0000 10.7984 1.0977
Pb 0.0000 13.2524 3.2932
Pb 2.2397 1.2270 3.2932
Pb 2.2397 22.8237 1.0977
```

Output
Its density of states at the Fermi level is 0.332 states/eV per atom. As for the formation energy: -0.586 eV/atom. The space group is Cmcm. For the distance to the lowest polymorph of the same formula, the calculation gives 0 meV/atom. The calculated volume is 29.6 Å³/atom. As for the crystal system: orthorhombic.

A plane-wave DFT calculation with GGA-PBE was carried out for crystalline Pu2SiRh at its relaxed geometry.

extended XYZ file:
```
8
Lattice="3.8831 0.0000 0.0000 0.0000 4.2067 0.0000 0.0000 0.0000 10.3990" Properties=species:S:1:pos:R:3 pbc="T T T"
Pu 0.0000 0.0000 0.0000
Pu 0.0000 2.1034 5.1995
Pu 1.9416 0.0000 2.9742
Pu 1.9416 2.1034 8.1737
Si 0.0000 0.0000 7.4180
Si 0.0000 2.1034 2.2185
Rh 1.9416 0.0000 5.8287
Rh 1.9416 2.1034 0.6293
```

Output
Its density of states at the Fermi level is 4.323 states/eV per atom. The space group is Amm2. Its formation energy (no corrections) is -461 meV/atom. The calculated volume is 21.2 Å³/atom. As for the crystal system: orthorhombic.

A plane-wave DFT calculation with GGA-PBE was carried out for crystalline EuNpPt2 at its relaxed geometry.

extended XYZ file:
```
16
Lattice="7.0730 0.0000 0.0000 0.0000 7.0730 0.0000 0.0000 0.0000 7.0730" Properties=species:S:1:pos:R:3 pbc="T T T"
Eu 0.0000 0.0000 0.0000
Eu 0.0000 3.5365 3.5365
Eu 3.5365 0.0000 3.5365
Eu 3.5365 3.5365 0.0000
Np 0.0000 0.0000 3.5365
Np 0.0000 3.5365 0.0000
Np 3.5365 0.0000 0.0000
Np 3.5365 3.5365 3.5365
Pt 1.7683 1.7683 1.7683
Pt 1.7683 1.7683 5.3048
Pt 1.7683 5.3048 1.7683
Pt 1.7683 5.3048 5.3048
Pt 5.3048 1.7683 1.7683
Pt 5.3048 1.7683 5.3048
Pt 5.3048 5.3048 1.7683
Pt 5.3048 5.3048 5.3048
```

Output
Its density of states at the Fermi level is 4.899 states/eV per atom. As for the formation energy: -0.591 eV/atom. The space group is Fm-3m. For the distance to the lowest polymorph of the same formula, the calculation gives 75 meV/atom. The calculated volume is 22.1 Å³/atom. As for the crystal system: cubic.

A plane-wave DFT calculation with GGA-PBE was carried out for crystalline MnPd2Pb at its relaxed geometry.

extended XYZ file:
```
4
Lattice="3.2754 0.0000 0.0000 0.0000 3.2754 0.0000 0.0000 0.0000 6.7074" Properties=species:S:1:pos:R:3 pbc="T T T"
Mn 0.0000 0.0000 0.0000
Pd 1.6377 1.6377 1.4315
Pd 1.6377 1.6377 5.2758
Pb 0.0000 0.0000 3.3537
```

Output
Its density of states at the Fermi level is 0.382 states/eV per atom. As for the formation energy: -0.164 eV/atom. The space group is P4/mmm. The calculated volume is 18.0 Å³/atom. As for the crystal system: tetragonal.

A plane-wave DFT calculation with GGA-PBE was carried out for crystalline Sm2Ni3Ge4Rh at its relaxed geometry.

extended XYZ file:
```
10
Lattice="4.1328 0.0000 0.0000 0.0000 4.1328 0.0000 0.0000 0.0000 9.9003" Properties=species:S:1:pos:R:3 pbc="T T T"
Sm 0.0000 2.0664 2.4114
Sm 2.0664 0.0000 7.4889
Ni 0.0000 2.0664 8.6773
Ni 2.0664 0.0000 1.2230
Ni 2.0664 2.0664 4.9501
Ge 0.0000 0.0000 0.0000
Ge 0.0000 2.0664 6.3089
Ge 2.0664 0.0000 3.5914
Ge 2.0664 2.0664 0.0000
Rh 0.0000 0.0000 4.9501
```

Output
Its density of states at the Fermi level is 0.581 states/eV per atom. As for the formation energy: -0.745 eV/atom. The space group is P-4m2. The calculated volume is 16.9 Å³/atom. As for the crystal system: tetragonal.

A plane-wave DFT calculation with GGA-PBE was carried out for crystalline NaAcSi4 at its relaxed geometry.

extended XYZ file:
```
6
Lattice="4.1727 0.0000 0.0000 0.0000 4.6707 0.0000 0.0000 0.0000 6.9680" Properties=species:S:1:pos:R:3 pbc="T T T"
Na 0.0000 0.0000 0.0000
Ac 2.0863 0.0000 3.4840
Si 0.0000 2.3354 2.2992
Si 0.0000 2.3354 4.6688
Si 2.0863 2.3354 1.1750
Si 2.0863 2.3354 5.7930
```

Output
Its density of states at the Fermi level is 0.411 states/eV per atom. The space group is Pmmm. Its formation energy (no corrections) is -170 meV/atom. For the distance to the lowest polymorph of the same formula, the calculation gives 0 meV/atom. The calculated volume is 22.6 Å³/atom. As for the crystal system: orthorhombic.